1.
Computed, not measured: SrSc2In at its PBEsol-relaxed geometry at the SCAN level of DFT.

Output
- Energy relative to the lowest polymorph listed for this composition: 296 meV per atom

abc: 3.4179 3.4179 33.5531
angles: 90.00 90.00 120.00
Closest atoms and distances in Å follow each position.
Space group R-3m (No. 166, hexagonal axes)
Inequivalent atoms, fractional coordinates:
1 Sr 0.0000 0.0000 0.0000 [3 per cell]  2 Sc 3.31, 6 Sr 3.42
2 Sc 0.0000 0.0000 0.0987 [6 per cell]  3 In 3.02, 1 Sr 3.31
3 In 0.0000 0.0000 0.5000 [3 per cell]  6 Sc 3.02

=====

2.
Computed, not measured: SrSc3In at its PBEsol-relaxed geometry at the SCAN level of DFT.

abc: 5.4493 5.4493 5.4493
angles: 90.00 90.00 90.00
Closest atoms and distances in Å follow each position.
Space group Pm-3m (No. 221)
Inequivalent atoms, fractional coordinates:
1 Sr 0.0000 0.0000 0.0000 [1 per cell]  12 Sc 3.85
2 Sc 0.0000 0.5000 0.5000 [3 per cell]  2 In 2.72
3 In 0.5000 0.5000 0.5000 [1 per cell]  6 Sc 2.72

=====

3.
Computed, not measured: SrSc2In at its PBEsol-relaxed geometry at the SCAN level of DFT.

Output
- Energy relative to the lowest polymorph listed for this composition: 106 meV per atom

abc: 3.4424 5.0183 6.5727
angles: 90.00 103.56 90.00
Closest atoms and distances in Å follow each position.
Space group P2/m (No. 10)
Inequivalent atoms, fractional coordinates:
1 Sr 0.0000 0.0000 0.0000 [1 per cell]  2 In 3.33, 2 Sr 3.44, 8 Sc 3.49-3.68
2 Sc 0.3117 0.5000 0.7054 [2 per cell]  2 In 2.99, 2 Sc 3.03-3.26
3 In 0.5000 0.0000 0.5000 [1 per cell]  4 Sc 2.99, 2 Sr 3.33

=====

| no. | total energy (eV per atom) | ΔE_f (eV/atom) |
| --- | --- | --- |
| 1 | -20.876 | 0.1580 |
| 2 | -19.432 | 0.2423 |
| 3 | -21.067 | -0.0327 |